A.
A plane-wave DFT calculation with GGA-PBEsol was carried out for a relaxed structure of BaTaAs2Se.

Geometry as POSCAR:
```
BaTaAs2Se
1.0
5.001 0.000 0.000
0.000 5.001 0.000
0.000 0.000 5.131
Ba Ta As Se
1 1 2 1
Cartesian
0.000 0.000 0.000
2.500 2.500 2.565
0.000 2.500 2.565
2.500 0.000 2.565
2.500 2.500 0.000
```

## Properties
Volume (Å³/atom): 25.66


B.
A plane-wave DFT calculation with GGA-PBEsol was carried out for a relaxed structure of BaTaAs2Se.

Geometry as POSCAR:
```
BaTaAs2Se
1.0
5.460 0.000 0.000
0.000 5.460 0.000
0.000 0.000 5.600
Ba Ta As Se
1 1 2 1
Cartesian
0.000 0.000 0.000
2.730 2.730 2.800
0.000 2.730 0.000
2.730 0.000 0.000
0.000 0.000 2.800
```

## Properties
Volume (Å³/atom): 33.39


Relative energy of each structure, in eV/atom: A 0.000; B 2.562.


A.
A plane-wave DFT calculation with GGA-PBEsol was carried out for a relaxed structure of Ba2SiAs.

Geometry as POSCAR:
```
Ba2SiAs
1.0
3.645 0.000 0.000
0.000 5.569 0.000
0.000 0.000 6.634
Ba Si As
2 1 1
Cartesian
0.000 0.000 0.000
1.822 2.785 3.317
0.000 0.000 3.317
1.822 2.785 0.000
```

## Properties
Volume (Å³/atom): 33.67


B.
A plane-wave DFT calculation with GGA-PBEsol was carried out for a relaxed structure of Ba2SiAs.

Geometry as POSCAR:
```
Ba2SiAs
1.0
2.564 -2.606 0.000
2.564 2.606 0.000
0.000 0.000 9.447
Ba Si As
2 1 1
Cartesian
0.000 0.000 0.000
2.564 0.000 3.955
0.000 0.000 6.278
2.564 0.000 7.133
```

## Properties
Volume (Å³/atom): 31.56


Relative energy of each structure, in eV/atom: A 0.000; B 0.045.